# 1
13
Lattice="2.676 1.545 8.810 -2.676 1.545 8.810 0.000 -3.090 8.810" Properties=species:S:1:pos:R:3 comment="Ta9Ni4, optimized geometry, DFT PBE-GGA" delta_e_f_ev_per_atom=0.1456 relative_energy_ev_per_atom=0.000 final_energy_ev_per_atom=-9.773 magmom_total_mub_per_atom=0.00 pbc="T T T"
Ta 0.000 0.000 17.147
Ta 1.326 0.766 6.550
Ta 0.000 -1.531 6.550
Ta -1.326 -0.766 19.879
Ta 0.000 0.000 0.000
Ni 0.000 0.000 22.001
Ni 0.000 0.000 14.359
Ta 0.000 1.531 19.879
Ni 0.000 0.000 12.071
Ta 0.000 0.000 9.283
Ta -1.326 0.766 6.550
Ni 0.000 0.000 4.428
Ta 1.326 -0.766 19.879

=====

# 2
10
Lattice="-3.875 3.875 5.507 3.875 -3.875 5.507 3.875 3.875 -5.507" Properties=species:S:1:pos:R:3 comment="Rb2DyCuBr6, optimized geometry, DFT PBE-GGA" final_energy_ev_per_atom=-3.505 magmom_total_mub_per_atom=0.00 pbc="T T T"
Cu 0.000 0.000 5.507
Br 1.976 1.976 0.000
Br 0.000 0.000 8.218
Br 1.899 1.899 5.507
Dy 0.000 0.000 0.000
Br 1.899 -1.899 5.507
Rb 0.000 3.875 2.753
Br 0.000 0.000 2.795
Rb 3.875 0.000 2.753
Br -1.899 1.899 5.507

=====

# 3
4
Lattice="-1.402 1.136 4.193 1.001 4.115 1.705 -3.297 3.111 0.540" Properties=species:S:1:pos:R:3 comment="ZrNbGaNi, optimized geometry, DFT PBE-GGA" final_energy_ev_per_atom=-6.762 magmom_total_mub_per_atom=0.51 pbc="T T T"
Ga 0.000 0.000 0.000
Ni -2.774 6.272 4.829
Nb -0.925 2.091 1.610
Zr -1.849 4.181 3.219

=====

# 4
4
Lattice="0.000 3.189 3.189 3.189 0.000 3.189 3.189 3.189 0.000" Properties=species:S:1:pos:R:3 comment="NbInReNi, optimized geometry, DFT PBE-GGA" final_energy_ev_per_atom=-7.378 magmom_total_mub_per_atom=0.01 pbc="T T T"
In 0.000 0.000 0.000
Re 3.189 3.189 3.189
Nb 1.595 1.595 1.595
Ni 4.784 4.784 4.784

=====

# 5
8
Lattice="4.527 0.000 0.000 0.000 4.527 0.000 0.000 0.000 6.140" Properties=species:S:1:pos:R:3 comment="NdHfNO, optimized geometry, DFT PBE-GGA" relative_energy_ev_per_atom=0.238 final_energy_ev_per_atom=-8.760 magmom_total_mub_per_atom=0.00 pbc="T T T"
Hf 2.264 0.000 5.928
Nd 2.264 2.264 3.070
N 0.000 2.264 2.173
N 2.264 0.000 3.967
Hf 0.000 2.264 0.212
Nd 0.000 0.000 3.070
O 2.264 2.264 0.000
O 0.000 0.000 0.000

=====

# 6
8
Lattice="3.592 0.000 0.000 -1.796 3.110 0.000 0.000 0.000 15.469" Properties=species:S:1:pos:R:3 comment="K2ScNbS4, optimized geometry, DFT PBE-GGA" final_energy_ev_per_atom=-5.750 magmom_total_mub_per_atom=0.00 pbc="T T T"
S 0.000 2.074 1.513
S 1.796 1.037 9.297
Nb 0.000 0.000 0.000
Sc 0.000 0.000 7.734
K 0.000 0.000 3.850
K 0.000 0.000 11.619
S 0.000 2.074 13.956
S 1.796 1.037 6.172

=====

# 7
4
Lattice="-2.052 -4.134 1.111 -3.380 -1.802 -2.805 0.890 -3.868 -2.605" Properties=species:S:1:pos:R:3 comment="YGaFeAg, optimized geometry, DFT PBE-GGA" relative_energy_ev_per_atom=0.000 final_energy_ev_per_atom=-5.211 magmom_total_mub_per_atom=0.67 pbc="T T T"
Ga 0.000 0.000 0.000
Ag -2.271 -4.902 -2.149
Fe -3.406 -7.353 -3.224
Y -1.135 -2.451 -1.075

=====

# 8
12
Lattice="8.675 -1.998 0.000 8.675 1.998 0.000 -2.049 0.000 8.696" Properties=species:S:1:pos:R:3 comment="KTmHgS3, optimized geometry, DFT PBE-GGA" final_energy_ev_per_atom=-4.240 magmom_total_mub_per_atom=0.00 pbc="T T T"
Hg 8.462 0.000 1.966
K 13.977 0.000 3.736
K 1.324 0.000 4.960
S 7.650 0.000 4.348
S 9.839 0.000 7.594
Tm 2.810 0.000 0.693
Hg 6.839 0.000 6.730
S 5.462 0.000 1.102
S 0.000 0.000 0.000
S 4.252 0.000 6.235
Tm 12.490 0.000 8.004
S 11.049 0.000 2.461

=====

# 9
10
Lattice="-2.492 -5.763 0.759 2.480 -1.347 -2.083 6.040 1.356 6.316" Properties=species:S:1:pos:R:3 comment="Cu2SbS2, optimized geometry, DFT PBE-GGA" final_energy_ev_per_atom=-4.016 pbc="T T T"
Cu 7.197 -0.317 4.345
Sb 2.965 -3.188 4.115
Cu -1.169 -5.437 0.647
Cu 2.716 -4.958 2.011
S 5.623 -0.874 2.831
S 0.405 -4.880 2.162
Cu 3.312 -0.796 2.982
Sb 3.063 -2.566 0.877
S 5.541 -3.907 4.694
S 0.488 -1.847 0.298

=====

# 10
5
Lattice="-2.730 -1.119 3.074 3.217 -0.189 2.787 -0.595 4.107 0.966" Properties=species:S:1:pos:R:3 comment="NbAgF3, optimized geometry, DFT PBE-GGA" relative_energy_ev_per_atom=1.268 final_energy_ev_per_atom=-4.150 magmom_total_mub_per_atom=0.69 pbc="T T T"
F 1.608 -0.095 1.394
Ag 0.000 0.000 0.000
F -0.298 2.053 0.483
F -1.365 -0.559 1.537
Nb -0.054 1.399 3.414

=====

# 11
6
Lattice="-0.667 0.981 -2.604 0.143 -2.818 0.474 -9.773 -0.080 2.473" Properties=species:S:1:pos:R:3 comment="Re4BC, optimized geometry, DFT PBE-GGA" final_energy_ev_per_atom=-11.060 magmom_total_mub_per_atom=0.00 pbc="T T T"
C -4.886 -0.040 1.236
Re -6.370 -1.603 1.028
B -0.127 -1.552 -0.552
Re -8.332 -0.068 2.108
Re -3.656 -1.581 0.341
Re -1.440 -0.012 0.364